Density functional theory data (PBE) for LaSiTe2 after structural relaxation. Values from VASP.

The structure in Quantum ESPRESSO input format:
```
&SYSTEM
  ibrav = 0, nat = 4, ntyp = 3
/
ATOMIC_SPECIES
La 138.91 La.upf
Si 28.09 Si.upf
Te 127.60 Te.upf
ATOMIC_POSITIONS crystal
La 0.000 0.000 0.000
Si 0.000 0.000 0.500
Te 0.381 0.500 0.744
Te 0.619 0.500 0.256
CELL_PARAMETERS angstrom
4.212 0.000 0.000
0.000 3.962 0.000
-1.884 0.000 6.800
```

* ΔE_f (raw): -600 meV/atom

---

Density functional theory data (PBE) for K2AcNdF8 after structural relaxation. Values from VASP.

The structure in Quantum ESPRESSO input format:
```
&SYSTEM
  ibrav = 0, nat = 12, ntyp = 4
/
ATOMIC_SPECIES
K 39.10 K.upf
Ac 227.00 Ac.upf
Nd 144.24 Nd.upf
F 19.00 F.upf
ATOMIC_POSITIONS crystal
K 0.000 0.000 0.000
K 0.750 0.250 0.500
Ac 0.500 0.500 0.000
Nd 0.250 0.750 0.500
F 0.155 0.113 0.525
F 0.155 0.631 0.043
F 0.369 0.412 0.525
F 0.369 0.845 0.957
F 0.588 0.113 0.957
F 0.588 0.631 0.475
F 0.887 0.412 0.043
F 0.887 0.845 0.475
CELL_PARAMETERS angstrom
-3.029 3.029 5.809
3.029 -3.029 5.809
3.029 3.029 -5.809
```

* ΔE_f (raw): -3726 meV/atom

---

Density functional theory data (PBE) for Pm2AgTe6Pb3 after structural relaxation. Values from VASP.

The structure in Quantum ESPRESSO input format:
```
&SYSTEM
  ibrav = 0, nat = 12, ntyp = 4
/
ATOMIC_SPECIES
Pm 145.00 Pm.upf
Ag 107.87 Ag.upf
Te 127.60 Te.upf
Pb 207.20 Pb.upf
ATOMIC_POSITIONS crystal
Pm 0.166 0.166 0.342
Pm 0.834 0.834 0.658
Ag 0.500 0.500 0.000
Te 0.007 0.007 0.230
Te 0.326 0.326 0.900
Te 0.331 0.331 0.413
Te 0.669 0.669 0.587
Te 0.674 0.674 0.100
Te 0.993 0.993 0.770
Pb 0.159 0.159 0.848
Pb 0.500 0.500 0.500
Pb 0.841 0.841 0.152
CELL_PARAMETERS angstrom
10.016 -2.236 0.000
10.016 2.236 0.000
-2.115 0.000 8.923
```

* ΔE_f (raw): -680 meV/atom